[1]
# CuHgPS2, relaxed, DFT GGA-PBE
# * magnetization: 0.00 μB/f.u.
# * energy relative to the lowest polymorph listed for this composition: 0 meV/atom
# * formation energy without anion corrections: 15.90 kcal/mol of atoms
data_CuHgPS2
_space_group_name_H-M_alt 'P 1'
_space_group_IT_number 1
_cell_length_a 4.753
_cell_length_b 4.753
_cell_length_c 4.367
_cell_angle_alpha 90.00
_cell_angle_beta 90.00
_cell_angle_gamma 90.00
loop_
_space_group_symop_operation_xyz
'x,y,z'
loop_
_atom_site_label
_atom_site_type_symbol
_atom_site_fract_x
_atom_site_fract_y
_atom_site_fract_z
P1 P 0.000 0.000 0.500
S1 S 0.000 0.500 0.000
S2 S 0.500 0.000 0.000
Hg1 Hg 0.500 0.500 0.500
Cu1 Cu 0.000 0.000 0.000

---

[2]
# KNaCa2Zn, relaxed, DFT GGA-PBE
# * magnetization: 0.00 μB/f.u.
# * formation energy: 0.0778 eV per atom
data_KNaCa2Zn
_space_group_name_H-M_alt 'P 1'
_space_group_IT_number 1
_cell_length_a 5.907
_cell_length_b 5.907
_cell_length_c 6.059
_cell_angle_alpha 90.00
_cell_angle_beta 90.00
_cell_angle_gamma 90.00
loop_
_space_group_symop_operation_xyz
'x,y,z'
loop_
_atom_site_label
_atom_site_type_symbol
_atom_site_fract_x
_atom_site_fract_y
_atom_site_fract_z
K1 K 0.500 0.500 0.500
Na1 Na 0.000 0.000 0.500
Zn1 Zn 0.000 0.000 0.000
Ca1 Ca 0.000 0.500 0.000
Ca2 Ca 0.500 0.000 0.000

---

[3]
# YSc2PbS, relaxed, DFT GGA-PBE
# * magnetization: 0.00 μB/f.u.
# * formation energy without anion corrections: -19.78 kcal/mol of atoms
data_YSc2PbS
_space_group_name_H-M_alt 'P 1'
_space_group_IT_number 1
_cell_length_a 4.853
_cell_length_b 4.853
_cell_length_c 5.201
_cell_angle_alpha 90.00
_cell_angle_beta 90.00
_cell_angle_gamma 90.00
loop_
_space_group_symop_operation_xyz
'x,y,z'
loop_
_atom_site_label
_atom_site_type_symbol
_atom_site_fract_x
_atom_site_fract_y
_atom_site_fract_z
Pb1 Pb 0.500 0.500 0.500
Y1 Y 0.000 0.000 0.500
S1 S 0.000 0.000 0.000
Sc1 Sc 0.000 0.500 0.000
Sc2 Sc 0.500 0.000 0.000

---

Ordered V results: 98.67; 211.44; 122.48; unit Å³ per cell.